(1)
LiPm2HgO: relaxed, GGA-PBE.

Values from the calculation:
Formation energy from raw total energies ... -1.326 eV per atom
Density of states at the Fermi level ... 0.83 states/eV per atom
Magnetization ... 0.0 μB/cell
Final energy ... -4.661 eV/atom

Cell lengths 4.1697, 4.9809, 4.9809 Å; angles 90.00, 90.00, 90.00 degrees
Fractional positions:
Li1 0.5000 0.0000 0.0000
Pm1 0.0000 0.0000 0.5000
Pm2 0.0000 0.5000 0.0000
Hg1 0.5000 0.5000 0.5000
O1 0.0000 0.0000 0.0000

***

(2)
Dy6Tl2Pd: relaxed, GGA-PBE.

Values from the calculation:
Density of states at the Fermi level ... 1.13 states/eV per atom
Formation enthalpy at 0 K ... -0.2732 eV per atom
Energy above the most stable polymorph in this dataset ... 99.6 meV per atom
Magnetization ... 0.0 μB/cell
Final energy ... -4.444 eV/atom

Cell lengths 6.0737, 8.6587, 9.8845 Å; angles 90.00, 87.63, 90.00 degrees
Fractional positions:
Dy1 0.8943 0.9703 0.2293
Dy2 0.8926 0.6780 0.5558
Dy3 0.9008 0.6776 0.9440
Dy4 0.5992 0.1776 0.5560
Dy5 0.6074 0.1780 0.9442
Dy6 0.6057 0.4703 0.2707
Dy7 0.1057 0.0297 0.7707
Dy8 0.1074 0.3220 0.4442
Dy9 0.0992 0.3224 0.0560
Dy10 0.4008 0.8224 0.4440
Dy11 0.3926 0.8220 0.0558
Dy12 0.3943 0.5297 0.7293
Tl1 0.9192 0.3760 0.7509
Tl2 0.5808 0.8760 0.7491
Tl3 0.4192 0.1240 0.2509
Tl4 0.0808 0.6240 0.2491
Pd1 0.5000 0.5000 0.0000
Pd2 0.0000 0.0000 0.5000

***

(3)
EuTlHgPt: relaxed, GGA-PBE.

Values from the calculation:
Density of states at the Fermi level ... 2.89 states/eV per atom
Formation enthalpy at 0 K ... -0.3911 eV per atom
Magnetization ... 6.9 μB/cell
Final energy ... -5.137 eV/atom

Cell lengths 5.1583, 5.1583, 5.1583 Å; angles 60.00, 60.00, 60.00 degrees
Fractional positions:
Eu1 0.5000 0.5000 0.5000
Tl1 0.0000 0.0000 0.0000
Hg1 0.2500 0.2500 0.2500
Pt1 0.7500 0.7500 0.7500

***

(4)
SrCu5Au7: relaxed, GGA-PBE.

Values from the calculation:
Density of states at the Fermi level ... 0.22 states/eV per atom
Formation enthalpy at 0 K ... -0.2008 eV per atom
Magnetization ... 0.0 μB/cell
Final energy ... -3.670 eV/atom

Cell lengths 5.2712, 7.0149, 7.0149 Å; angles 81.76, 67.93, 67.93 degrees
Fractional positions:
Sr1 0.9978 0.0022 0.0022
Cu1 0.5017 0.9942 0.5048
Cu2 0.9994 0.9942 0.5048
Cu3 0.5017 0.5048 0.9942
Cu4 0.9994 0.5048 0.9942
Cu5 0.7339 0.7661 0.7661
Au1 0.6530 0.3470 0.3470
Au2 0.3368 0.6632 0.6632
Au3 0.9959 0.3487 0.6595
Au4 0.9959 0.6595 0.3487
Au5 0.2751 0.2249 0.2249
Au6 0.5048 0.7838 0.2066
Au7 0.5048 0.2066 0.7838

***

(5)
Ac3PrZn8: relaxed, GGA-PBE.

Values from the calculation:
Density of states at the Fermi level ... 0.63 states/eV per atom
Formation enthalpy at 0 K ... -0.2301 eV per atom
Magnetization ... 0.0 μB/cell
Final energy ... -2.505 eV/atom

Cell lengths 5.9148, 5.9148, 9.0266 Å; angles 90.00, 90.00, 120.00 degrees
Fractional positions:
Ac1 0.6667 0.3333 0.4546
Ac2 0.6667 0.3333 0.0511
Ac3 0.0000 0.0000 0.9375
Pr1 0.0000 0.0000 0.5530
Zn1 0.3333 0.6667 0.4963
Zn2 0.3333 0.6667 0.0077
Zn3 0.4891 0.9782 0.7474
Zn4 0.4891 0.5109 0.7474
Zn5 0.0218 0.5109 0.7474
Zn6 0.1683 0.3366 0.2526
Zn7 0.1683 0.8317 0.2526
Zn8 0.6634 0.8317 0.2526

***

(6)
DyTiMnGe2: relaxed, GGA-PBE.

Values from the calculation:
Density of states at the Fermi level ... 0.48 states/eV per atom
Formation enthalpy at 0 K ... -0.5934 eV per atom
Magnetization ... 1.4 μB/cell
Final energy ... -6.774 eV/atom

Cell lengths 3.9741, 3.9741, 6.3373 Å; angles 108.27, 108.27, 90.00 degrees
Fractional positions:
Dy1 0.0000 0.0000 0.0000
Ti1 0.2500 0.7500 0.5000
Mn1 0.7500 0.2500 0.5000
Ge1 0.6111 0.6111 0.2222
Ge2 0.3889 0.3889 0.7778

***

(7)
CaCdAsO4: relaxed, GGA-PBE.

Values from the calculation:
Formation energy from raw total energies ... -1.607 eV per atom
Density of states at the Fermi level ... 0.19 states/eV per atom
Magnetization ... 0.0 μB/cell
Final energy ... -5.521 eV/atom

Cell lengths 6.1251, 6.5717, 6.5717 Å; angles 64.63, 62.22, 62.22 degrees
Fractional positions:
Ca1 0.0000 0.0000 0.0000
Ca2 0.0000 0.5000 0.5000
Cd1 0.5000 0.0000 0.5000
Cd2 0.0000 0.0000 0.5000
As1 0.6312 0.6188 0.1188
As2 0.3688 0.3812 0.8812
O1 0.7352 0.7241 0.8055
O2 0.2648 0.6945 0.7759
O3 0.7352 0.3055 0.2241
O4 0.2648 0.2759 0.1945
O5 0.2855 0.7323 0.2324
O6 0.7498 0.7323 0.2324
O7 0.2502 0.2676 0.7677
O8 0.7145 0.2676 0.7677

***

(8)
Zr2HCl: relaxed, GGA-PBE.

Values from the calculation:
Density of states at the Fermi level ... 0.41 states/eV per atom
Energy above the most stable polymorph in this dataset ... 0.0 meV per atom
Magnetization ... 0.0 μB/cell
Final energy ... -5.878 eV/atom

Cell lengths 5.3675, 5.3675, 6.2878 Å; angles 64.73, 64.73, 90.00 degrees
Fractional positions:
H1 0.5000 0.5000 0.0000
H2 0.2500 0.7500 0.5000
Zr1 0.5575 0.1250 0.2500
Zr2 0.1925 0.6250 0.2500
Zr3 0.3750 0.4425 0.7500
Zr4 0.8750 0.8075 0.7500
Cl1 0.0000 0.0000 0.0000
Cl2 0.7500 0.2500 0.5000

***

Please write out number 2 again, unchanged.
Dy6Tl2Pd: relaxed, GGA-PBE.

Values from the calculation:
Density of states at the Fermi level ... 1.13 states/eV per atom
Formation enthalpy at 0 K ... -0.2732 eV per atom
Energy above the most stable polymorph in this dataset ... 99.6 meV per atom
Magnetization ... 0.0 μB/cell
Final energy ... -4.444 eV/atom

Cell lengths 6.0737, 8.6587, 9.8845 Å; angles 90.00, 87.63, 90.00 degrees
Fractional positions:
Dy1 0.8943 0.9703 0.2293
Dy2 0.8926 0.6780 0.5558
Dy3 0.9008 0.6776 0.9440
Dy4 0.5992 0.1776 0.5560
Dy5 0.6074 0.1780 0.9442
Dy6 0.6057 0.4703 0.2707
Dy7 0.1057 0.0297 0.7707
Dy8 0.1074 0.3220 0.4442
Dy9 0.0992 0.3224 0.0560
Dy10 0.4008 0.8224 0.4440
Dy11 0.3926 0.8220 0.0558
Dy12 0.3943 0.5297 0.7293
Tl1 0.9192 0.3760 0.7509
Tl2 0.5808 0.8760 0.7491
Tl3 0.4192 0.1240 0.2509
Tl4 0.0808 0.6240 0.2491
Pd1 0.5000 0.5000 0.0000
Pd2 0.0000 0.0000 0.5000

***

Please write out number 1 again, unchanged.
LiPm2HgO: relaxed, GGA-PBE.

Values from the calculation:
Formation energy from raw total energies ... -1.326 eV per atom
Density of states at the Fermi level ... 0.83 states/eV per atom
Magnetization ... 0.0 μB/cell
Final energy ... -4.661 eV/atom

Cell lengths 4.1697, 4.9809, 4.9809 Å; angles 90.00, 90.00, 90.00 degrees
Fractional positions:
Li1 0.5000 0.0000 0.0000
Pm1 0.0000 0.0000 0.5000
Pm2 0.0000 0.5000 0.0000
Hg1 0.5000 0.5000 0.5000
O1 0.0000 0.0000 0.0000